The following is a DFT calculation (PBE with a Hubbard U) of a relaxed structure of LaCrO3.

Cell and atoms, written as CIF:
```
data_LaCrO3
_cell_length_a 7.449
_cell_length_b 7.449
_cell_length_c 4.015
_cell_angle_alpha 90.00
_cell_angle_beta 90.00
_cell_angle_gamma 134.63
_symmetry_space_group_name_H-M 'P 1'
_symmetry_Int_Tables_number 1
loop_
_symmetry_equiv_pos_as_xyz
'x,y,z'
loop_
_atom_site_label
_atom_site_type_symbol
_atom_site_fract_x
_atom_site_fract_y
_atom_site_fract_z
La1 La 0.163 0.837 0.750
La2 La 0.837 0.163 0.250
Cr1 Cr 0.413 0.587 0.750
Cr2 Cr 0.587 0.413 0.250
O1 O 0.000 0.000 0.000
O2 O 0.000 0.000 0.500
O3 O 0.086 0.437 0.750
O4 O 0.437 0.086 0.250
O5 O 0.563 0.914 0.750
O6 O 0.914 0.563 0.250
```

Computed properties:
- Total DFT energy (no corrections): -7.34 eV per atom
- DOS(E_F): 3.88 states/eV per cell